Density functional theory data (PBE) for a relaxed structure of CaY2.

Unit cell a=6.262 b=6.262 c=6.262 alpha=147.85 beta=124.02 gamma=66.03
Atoms (fractional coordinates):
Ca  0.000  0.000  0.000
Y  0.315  0.815  0.500
Y  0.685  0.185  0.500

- ρ (g/cm3) = 3.4
- total DFT energy (no corrections) (eV/atom) = -4.7335
- formation energy from the elements (meV/atom) = 243